Record 1
{
  "formula": "CsHfU",
  "functional": "PBE-GGA",
  "state": "relaxed",
  "total_energy_ev_per_atom": -5.05,
  "vol_a3_per_cell": 90,
  "relative_energy_ev_per_fu": 0.35,
  "lattice": [[0.000, 3.555, 3.555], [3.555, 0.000, 3.555], [3.555, 3.555, 0.000]],
  "species": ["Cs", "Hf", "U"],
  "fractional_positions": [[0.000, 0.000, 0.000], [0.750, 0.750, 0.750], [0.250, 0.250, 0.250]]
}

Record 2
{
  "formula": "CsHfU",
  "functional": "PBE-GGA",
  "state": "relaxed",
  "total_energy_ev_per_atom": -5.17,
  "vol_a3_per_cell": 109,
  "relative_energy_ev_per_fu": 0.00,
  "lattice": [[0.000, 3.788, 3.788], [3.788, 0.000, 3.788], [3.788, 3.788, 0.000]],
  "species": ["Cs", "Hf", "U"],
  "fractional_positions": [[0.000, 0.000, 0.000], [0.250, 0.250, 0.250], [0.500, 0.500, 0.500]]
}

Record 3
{
  "formula": "CsHfW",
  "functional": "PBE-GGA",
  "state": "relaxed",
  "total_energy_ev_per_atom": -4.93,
  "vol_a3_per_cell": 74,
  "lattice": [[0.000, 3.339, 3.339], [3.339, 0.000, 3.339], [3.339, 3.339, 0.000]],
  "species": ["Cs", "Hf", "W"],
  "fractional_positions": [[0.000, 0.000, 0.000], [0.750, 0.750, 0.750], [0.250, 0.250, 0.250]]
}

Record 4
{
  "formula": "CsYHf",
  "functional": "PBE-GGA",
  "state": "relaxed",
  "total_energy_ev_per_atom": -4.14,
  "vol_a3_per_cell": 132,
  "relative_energy_ev_per_fu": 0.00,
  "lattice": [[0.000, 4.044, 4.044], [4.044, 0.000, 4.044], [4.044, 4.044, 0.000]],
  "species": ["Cs", "Y", "Hf"],
  "fractional_positions": [[0.000, 0.000, 0.000], [0.500, 0.500, 0.500], [0.250, 0.250, 0.250]]
}

Record 5
{
  "formula": "CsYHf",
  "functional": "PBE-GGA",
  "state": "relaxed",
  "total_energy_ev_per_atom": -4.00,
  "vol_a3_per_cell": 101,
  "relative_energy_ev_per_fu": 0.43,
  "lattice": [[0.000, 3.699, 3.699], [3.699, 0.000, 3.699], [3.699, 3.699, 0.000]],
  "species": ["Cs", "Y", "Hf"],
  "fractional_positions": [[0.000, 0.000, 0.000], [0.250, 0.250, 0.250], [0.750, 0.750, 0.750]]
}

Record 6
{
  "formula": "CsHfZr",
  "functional": "PBE-GGA",
  "state": "relaxed",
  "total_energy_ev_per_atom": -4.32,
  "vol_a3_per_cell": 87,
  "relative_energy_ev_per_fu": 0.83,
  "lattice": [[0.000, 3.522, 3.522], [3.522, 0.000, 3.522], [3.522, 3.522, 0.000]],
  "species": ["Cs", "Hf", "Zr"],
  "fractional_positions": [[0.000, 0.000, 0.000], [0.750, 0.750, 0.750], [0.250, 0.250, 0.250]]
}

Record 7
{
  "formula": "CsHfZr",
  "functional": "PBE-GGA",
  "state": "relaxed",
  "total_energy_ev_per_atom": -4.59,
  "vol_a3_per_cell": 103,
  "relative_energy_ev_per_fu": 0.00,
  "lattice": [[0.000, 3.726, 3.726], [3.726, 0.000, 3.726], [3.726, 3.726, 0.000]],
  "species": ["Cs", "Hf", "Zr"],
  "fractional_positions": [[0.000, 0.000, 0.000], [0.500, 0.500, 0.500], [0.250, 0.250, 0.250]]
}

Record 8
{
  "formula": "CsHg4",
  "functional": "PBE-GGA",
  "state": "relaxed",
  "total_energy_ev_per_atom": -0.35,
  "vol_a3_per_cell": 239,
  "relative_energy_ev_per_fu": 1.19,
  "lattice": [[-3.908, 3.908, 3.908], [3.908, -3.908, 3.908], [3.908, 3.908, -3.908]],
  "species": ["Cs", "Hg", "Hg", "Hg", "Hg"],
  "fractional_positions": [[0.000, 0.000, 0.000], [0.000, 0.000, 0.500], [0.000, 0.500, 0.000], [0.500, 0.000, 0.000], [0.500, 0.500, 0.500]]
}

Record 9
{
  "formula": "Cs3Hg20",
  "functional": "PBE-GGA",
  "state": "relaxed",
  "total_energy_ev_per_atom": -0.50,
  "vol_a3_per_cell": 1359,
  "lattice": [[11.077, 0.000, 0.000], [0.000, 11.077, 0.000], [0.000, 0.000, 11.077]],
  "species": ["Cs", "Cs", "Cs", "Cs", "Cs", "Cs", "Hg", "Hg", "Hg", "Hg", "Hg", "Hg", "Hg", "Hg", "Hg", "Hg", "Hg", "Hg", "Hg", "Hg", "Hg", "Hg", "Hg", "Hg", "Hg", "Hg", "Hg", "Hg", "Hg", "Hg", "Hg", "Hg", "Hg", "Hg", "Hg", "Hg", "Hg", "Hg", "Hg", "Hg", "Hg", "Hg", "Hg", "Hg", "Hg", "Hg"],
  "fractional_positions": [[0.000, 0.250, 0.500], [0.000, 0.750, 0.500], [0.250, 0.500, 0.000], [0.500, 0.000, 0.250], [0.500, 0.000, 0.750], [0.750, 0.500, 0.000], [0.000, 0.000, 0.000], [0.000, 0.256, 0.135], [0.000, 0.256, 0.865], [0.000, 0.500, 0.250], [0.000, 0.500, 0.750], [0.000, 0.744, 0.135], [0.000, 0.744, 0.865], [0.135, 0.000, 0.256], [0.135, 0.000, 0.744], [0.244, 0.500, 0.365], [0.244, 0.500, 0.635], [0.250, 0.000, 0.500], [0.250, 0.250, 0.250], [0.250, 0.250, 0.750], [0.250, 0.750, 0.250], [0.250, 0.750, 0.750], [0.256, 0.135, 0.000], [0.256, 0.865, 0.000], [0.365, 0.244, 0.500], [0.365, 0.756, 0.500], [0.500, 0.250, 0.000], [0.500, 0.365, 0.244], [0.500, 0.365, 0.756], [0.500, 0.500, 0.500], [0.500, 0.635, 0.244], [0.500, 0.635, 0.756], [0.500, 0.750, 0.000], [0.635, 0.244, 0.500], [0.635, 0.756, 0.500], [0.744, 0.135, 0.000], [0.744, 0.865, 0.000], [0.750, 0.000, 0.500], [0.750, 0.250, 0.250], [0.750, 0.250, 0.750], [0.750, 0.750, 0.250], [0.750, 0.750, 0.750], [0.756, 0.500, 0.365], [0.756, 0.500, 0.635], [0.865, 0.000, 0.256], [0.865, 0.000, 0.744]]
}

Record 10
{
  "formula": "CsHg",
  "functional": "PBE-GGA",
  "state": "relaxed",
  "total_energy_ev_per_atom": -0.53,
  "vol_a3_per_cell": 143,
  "lattice": [[0.000, 4.147, 4.147], [4.147, 0.000, 4.147], [4.147, 4.147, 0.000]],
  "species": ["Cs", "Hg"],
  "fractional_positions": [[0.000, 0.000, 0.000], [0.750, 0.750, 0.750]]
}

Record 11
{
  "formula": "CsHg",
  "functional": "PBE-GGA",
  "state": "relaxed",
  "total_energy_ev_per_atom": -0.82,
  "vol_a3_per_cell": 204,
  "lattice": [[6.935, -2.735, 0.000], [6.935, 2.735, 0.000], [-0.035, 0.000, 5.373]],
  "species": ["Cs", "Cs", "Hg", "Hg"],
  "fractional_positions": [[0.144, 0.144, 0.251], [0.856, 0.856, 0.749], [0.441, 0.441, 0.249], [0.559, 0.559, 0.751]]
}

Record 12
{
  "formula": "Cs2Hg27",
  "functional": "PBE-GGA",
  "state": "relaxed",
  "total_energy_ev_per_atom": -0.40,
  "vol_a3_per_cell": 2375,
  "lattice": [[-8.405, 8.405, 8.405], [8.405, -8.405, 8.405], [8.405, 8.405, -8.405]],
  "species": ["Cs", "Cs", "Cs", "Cs", "Cs", "Cs", "Hg", "Hg", "Hg", "Hg", "Hg", "Hg", "Hg", "Hg", "Hg", "Hg", "Hg", "Hg", "Hg", "Hg", "Hg", "Hg", "Hg", "Hg", "Hg", "Hg", "Hg", "Hg", "Hg", "Hg", "Hg", "Hg", "Hg", "Hg", "Hg", "Hg", "Hg", "Hg", "Hg", "Hg", "Hg", "Hg", "Hg", "Hg", "Hg", "Hg", "Hg", "Hg", "Hg", "Hg", "Hg", "Hg", "Hg", "Hg", "Hg", "Hg", "Hg", "Hg", "Hg", "Hg", "Hg", "Hg", "Hg", "Hg", "Hg", "Hg", "Hg", "Hg", "Hg", "Hg", "Hg", "Hg", "Hg", "Hg", "Hg", "Hg", "Hg", "Hg", "Hg", "Hg", "Hg", "Hg", "Hg", "Hg", "Hg", "Hg", "Hg"],
  "fractional_positions": [[0.196, 0.696, 0.500], [0.304, 0.500, 0.804], [0.500, 0.196, 0.696], [0.500, 0.804, 0.304], [0.696, 0.500, 0.196], [0.804, 0.304, 0.500], [0.000, 0.000, 0.000], [0.000, 0.000, 0.352], [0.000, 0.000, 0.648], [0.000, 0.352, 0.000], [0.000, 0.648, 0.000], [0.010, 0.735, 0.276], [0.031, 0.209, 0.528], [0.031, 0.503, 0.822], [0.062, 0.895, 0.167], [0.095, 0.413, 0.508], [0.095, 0.587, 0.682], [0.101, 0.387, 0.286], [0.101, 0.815, 0.714], [0.105, 0.167, 0.272], [0.105, 0.833, 0.938], [0.167, 0.062, 0.895], [0.167, 0.272, 0.105], [0.178, 0.681, 0.209], [0.178, 0.969, 0.497], [0.185, 0.286, 0.899], [0.209, 0.178, 0.681], [0.209, 0.528, 0.031], [0.265, 0.276, 0.541], [0.265, 0.724, 0.990], [0.272, 0.105, 0.167], [0.276, 0.010, 0.735], [0.276, 0.541, 0.265], [0.286, 0.101, 0.387], [0.286, 0.899, 0.185], [0.318, 0.905, 0.413], [0.319, 0.497, 0.528], [0.319, 0.791, 0.822], [0.352, 0.000, 0.000], [0.352, 0.352, 0.352], [0.387, 0.286, 0.101], [0.413, 0.318, 0.905], [0.413, 0.508, 0.095], [0.459, 0.735, 0.724], [0.472, 0.681, 0.503], [0.472, 0.969, 0.791], [0.492, 0.905, 0.587], [0.497, 0.178, 0.969], [0.497, 0.528, 0.319], [0.503, 0.472, 0.681], [0.503, 0.822, 0.031], [0.508, 0.095, 0.413], [0.528, 0.031, 0.209], [0.528, 0.319, 0.497], [0.541, 0.265, 0.276], [0.587, 0.492, 0.905], [0.587, 0.682, 0.095], [0.613, 0.714, 0.899], [0.648, 0.000, 0.000], [0.648, 0.648, 0.648], [0.681, 0.209, 0.178], [0.681, 0.503, 0.472], [0.682, 0.095, 0.587], [0.714, 0.101, 0.815], [0.714, 0.899, 0.613], [0.724, 0.459, 0.735], [0.724, 0.990, 0.265], [0.728, 0.895, 0.833], [0.735, 0.276, 0.010], [0.735, 0.724, 0.459], [0.791, 0.472, 0.969], [0.791, 0.822, 0.319], [0.815, 0.714, 0.101], [0.822, 0.031, 0.503], [0.822, 0.319, 0.791], [0.833, 0.728, 0.895], [0.833, 0.938, 0.105], [0.895, 0.167, 0.062], [0.895, 0.833, 0.728], [0.899, 0.185, 0.286], [0.899, 0.613, 0.714], [0.905, 0.413, 0.318], [0.905, 0.587, 0.492], [0.938, 0.105, 0.833], [0.969, 0.497, 0.178], [0.969, 0.791, 0.472], [0.990, 0.265, 0.724]]
}